Record 1
This record from the Alexandria database describes HgGeP2Cl after structural relaxation. The functional is PBE-GGA.

a = 4.8536 Å, b = 4.8536 Å, c = 4.9467 Å
α = 90.00°, β = 90.00°, γ = 90.00°
Closest atoms and distances in Å follow each position.
Space group P4/mmm (No. 123)
Inequivalent atoms, fractional coordinates:
1 Hg 0.0000 0.0000 0.0000 x1  4 Cl 3.43, 8 P 3.47
2 Ge 0.5000 0.5000 0.5000 x1  4 P 2.43, 2 Cl 2.47
3 P 0.0000 0.5000 0.5000 x2  2 Ge 2.43
4 Cl 0.5000 0.5000 0.0000 x1  2 Ge 2.47

Properties
For the formation energy from raw total energies, the calculation gives 13.547 kcal/mol of atoms. The final energy is -14.65 eV for the cell shown.



Record 2
This record from the Alexandria database describes ReHg2GeCl after structural relaxation. The functional is PBE-GGA.

a = 5.3540 Å, b = 5.3540 Å, c = 5.0019 Å
α = 90.00°, β = 90.00°, γ = 90.00°
Closest atoms and distances in Å follow each position.
Space group P4/mmm (No. 123)
Inequivalent atoms, fractional coordinates:
1 Re 0.0000 0.0000 0.0000 x1  2 Ge 2.50
2 Hg 0.0000 0.5000 0.5000 x2  2 Ge 2.68
3 Ge 0.0000 0.0000 0.5000 x1  2 Re 2.50, 4 Hg 2.68
4 Cl 0.5000 0.5000 0.0000 x1  8 Hg 3.66, 4 Re 3.79

Properties
For the formation energy from raw total energies, the calculation gives 20.786 kcal/mol of atoms. The final energy is -15.01 eV for the cell shown.



Record 3
This record from the Alexandria database describes HgGeSCl2 after structural relaxation. The functional is PBE-GGA.

a = 4.9341 Å, b = 4.9341 Å, c = 4.9504 Å
α = 90.00°, β = 90.00°, γ = 90.00°
Closest atoms and distances in Å follow each position.
Space group P4/mmm (No. 123)
Inequivalent atoms, fractional coordinates:
1 Hg 0.0000 0.0000 0.0000 x1  4 S 3.49, 8 Cl 3.49
2 Ge 0.5000 0.5000 0.5000 x1  4 Cl 2.47, 2 S 2.48
3 S 0.5000 0.5000 0.0000 x1  2 Ge 2.48
4 Cl 0.0000 0.5000 0.5000 x2  2 Ge 2.47

Properties
For the formation energy from raw total energies, the calculation gives -3.424 kcal/mol of atoms. The final energy is -13.48 eV for the cell shown.



Record 4
This record from the Alexandria database describes Sc2HgGeCl after structural relaxation. The functional is PBE-GGA.

a = 4.7670 Å, b = 4.7670 Å, c = 5.3717 Å
α = 90.00°, β = 90.00°, γ = 90.00°
Closest atoms and distances in Å follow each position.
Space group P4/mmm (No. 123)
Inequivalent atoms, fractional coordinates:
1 Sc 0.0000 0.5000 0.0000 x2  2 Cl 2.38
2 Hg 0.0000 0.0000 0.5000 x1  2 Cl 2.69
3 Ge 0.5000 0.5000 0.5000 x1  4 Hg 3.37, 8 Sc 3.59
4 Cl 0.0000 0.0000 0.0000 x1  4 Sc 2.38

Properties
For the formation energy from raw total energies, the calculation gives -0.502 kcal/mol of atoms. The final energy is -19.54 eV for the cell shown.



Record 5
This record from the Alexandria database describes Tl2HgGeCl6 after structural relaxation. The functional is PBE-GGA.

a = 7.2764 Å, b = 7.6106 Å, c = 7.6935 Å
α = 99.65°, β = 112.43°, γ = 115.24°
Closest atoms and distances in Å follow each position.
Space group P1 (No. 1)
Inequivalent atoms, fractional coordinates:
1 Tl 0.0000 0.0000 0.0000 x1  6 Cl 3.14-3.50
2 Tl 0.0080 0.4965 0.5052 x1  6 Cl 3.13-3.48
3 Hg 0.5085 0.7108 0.2146 x1  4 Cl 2.53-2.59
4 Ge 0.4478 0.1998 0.6608 x1  2 Cl 2.37-2.38
5 Cl 0.2837 0.8434 0.3153 x1  1 Hg 2.53
6 Cl 0.3732 0.9976 0.8561 x1  1 Ge 2.37
7 Cl 0.4739 0.5451 0.8718 x1  1 Hg 2.59, 1 Ge 2.74
8 Cl 0.4800 0.4252 0.3546 x1  1 Hg 2.55
9 Cl 0.8595 0.3348 0.8261 x1  1 Ge 2.38
10 Cl 0.9209 0.0433 0.3749 x1  1 Hg 2.57

Properties
For the formation energy from raw total energies, the calculation gives -19.060 kcal/mol of atoms. The final energy is -29.00 eV for the cell shown.



Record 6
This record from the Alexandria database describes Tl2HgGe2Cl6 after structural relaxation. The functional is PBE-GGA.

a = 7.2866 Å, b = 7.7012 Å, c = 8.3456 Å
α = 77.76°, β = 66.94°, γ = 75.28°
Closest atoms and distances in Å follow each position.
Space group P-1 (No. 2)
Inequivalent atoms, fractional coordinates:
1 Tl 0.0507 0.2052 0.1884 x2  6 Cl 3.21-3.42
2 Hg 0.0000 0.5000 0.5000 x1  2 Ge 3.42, 2 Tl 3.66, 2 Cl 3.67
3 Ge 0.3906 0.2331 0.6192 x2  3 Cl 2.35-2.37
4 Cl 0.2658 0.8763 0.4044 x2  1 Ge 2.37
5 Cl 0.2661 0.9989 0.8414 x2  1 Ge 2.37
6 Cl 0.3202 0.4445 0.8121 x2  1 Ge 2.35

Properties
For the formation energy from raw total energies, the calculation gives -18.702 kcal/mol of atoms. The final energy is -34.27 eV for the cell shown.



Record 7
This record from the Alexandria database describes HoGeCl5 after structural relaxation. The functional is PBE-GGA.

a = 10.1849 Å, b = 9.6726 Å, c = 10.2058 Å
α = 90.00°, β = 116.42°, γ = 90.00°
Closest atoms and distances in Å follow each position.
Space group C2/c (No. 15)
Inequivalent atoms, fractional coordinates:
1 Ho 0.2500 0.2500 0.0000 x4  6 Cl 2.60-2.69
2 Ge 0.0000 0.0825 0.2500 x4  4 Cl 2.46-2.68
3 Cl 0.0000 0.2486 0.7500 x4  2 Ho 2.69
4 Cl 0.0982 0.2675 0.1541 x8  1 Ge 2.46, 1 Ho 2.66
5 Cl 0.2348 0.0186 0.5001 x8  1 Ho 2.60, 1 Ge 2.68

Properties
For the formation energy from raw total energies, the calculation gives -36.534 kcal/mol of atoms. The final energy is -118.07 eV for the cell shown.



Record 8
This record from the Alexandria database describes Ho2GeCl3 after structural relaxation. The functional is PBE-GGA.

a = 18.0641 Å, b = 3.9467 Å, c = 12.5926 Å
α = 90.00°, β = 129.92°, γ = 90.00°
Closest atoms and distances in Å follow each position.
Space group C2/m (No. 12)
Inequivalent atoms, fractional coordinates:
1 Ho 0.1156 0.0000 0.4407 x4  5 Cl 2.71-2.97, 2 Ge 2.84-2.97
2 Ho 0.1271 0.5000 0.8268 x4  4 Cl 2.72-2.81, 2 Ge 2.82
3 Ge 0.0670 0.0000 0.6257 x4  1 Ge 2.46
4 Cl 0.0492 0.5000 0.2409 x4  3 Ho 2.72-2.79
5 Cl 0.1772 0.0000 0.0220 x4  3 Ho 2.74-2.81
6 Cl 0.2424 0.5000 0.6053 x4  3 Ho 2.71-2.97

Properties
For the formation energy from raw total energies, the calculation gives -37.498 kcal/mol of atoms. The final energy is -116.28 eV for the cell shown.



Record 9
This record from the Alexandria database describes LaHoGeCl after structural relaxation. The functional is PBE-GGA.

a = 5.9226 Å, b = 4.9232 Å, c = 8.6299 Å
α = 90.00°, β = 90.00°, γ = 90.00°
Closest atoms and distances in Å follow each position.
Space group Amm2 (No. 38)
Inequivalent atoms, fractional coordinates:
1 La 0.0000 0.0000 0.0000 x2  3 Cl 2.86, 2 Ge 2.96
2 Ho 0.5000 0.0000 0.6690 x2  3 Ge 2.86, 2 Cl 2.96
3 Ge 0.5000 0.0000 0.0004 x2  3 Ho 2.86, 2 La 2.96
4 Cl 0.0000 0.0000 0.6690 x2  3 La 2.86, 2 Ho 2.96

Properties
For the formation energy from raw total energies, the calculation gives -22.623 kcal/mol of atoms. The final energy is -39.79 eV for the cell shown.



Record 10
This record from the Alexandria database describes NaHoGeCl6 after structural relaxation. The functional is PBE-GGA.

a = 6.8520 Å, b = 6.8520 Å, c = 12.5574 Å
α = 90.00°, β = 90.00°, γ = 120.00°
Closest atoms and distances in Å follow each position.
Space group P-31c (No. 163)
Inequivalent atoms, fractional coordinates:
1 Na 0.0000 0.0000 0.0000 x2  6 Cl 2.94
2 Ho 0.3333 0.6667 0.2500 x2  6 Cl 2.64
3 Ge 0.3333 0.6667 0.7500 x2  6 Cl 2.69
4 Cl 0.0057 0.3564 0.1321 x12  1 Ho 2.64, 1 Ge 2.69, 1 Na 2.94

Properties
For the formation energy from raw total energies, the calculation gives -38.849 kcal/mol of atoms. The final energy is -73.51 eV for the cell shown.



Record 11
This record from the Alexandria database describes NdHoGeCl after structural relaxation. The functional is PBE-GGA.

a = 5.8061 Å, b = 4.8774 Å, c = 8.5416 Å
α = 90.00°, β = 90.00°, γ = 90.00°
Closest atoms and distances in Å follow each position.
Space group Amm2 (No. 38)
Inequivalent atoms, fractional coordinates:
1 Nd 0.0000 0.0000 0.0000 x2  3 Cl 2.83, 2 Ge 2.90
2 Ho 0.5000 0.0000 0.6690 x2  3 Ge 2.83, 2 Cl 2.90
3 Ge 0.5000 0.0000 0.0006 x2  3 Ho 2.83, 2 Nd 2.90
4 Cl 0.0000 0.0000 0.6688 x2  3 Nd 2.83, 2 Ho 2.90

Properties
For the formation energy from raw total energies, the calculation gives -21.734 kcal/mol of atoms. The final energy is -39.16 eV for the cell shown.



Record 12
This record from the Alexandria database describes PrHoGeCl after structural relaxation. The functional is PBE-GGA.

a = 5.8458 Å, b = 4.8943 Å, c = 8.5745 Å
α = 90.00°, β = 90.00°, γ = 90.00°
Closest atoms and distances in Å follow each position.
Space group Amm2 (No. 38)
Inequivalent atoms, fractional coordinates:
1 Pr 0.0000 0.0000 0.0000 x2  3 Cl 2.84, 2 Ge 2.92
2 Ho 0.5000 0.0000 0.6691 x2  3 Ge 2.84, 2 Cl 2.92
3 Ge 0.5000 0.0000 0.0006 x2  3 Ho 2.84, 2 Pr 2.92
4 Cl 0.0000 0.0000 0.6689 x2  3 Pr 2.84, 2 Ho 2.92

Properties
For the formation energy from raw total energies, the calculation gives -21.689 kcal/mol of atoms. The final energy is -39.17 eV for the cell shown.